# GGA-PBE SmDyScHg, relaxed
data_SmDyScHg
_chemical_formula_sum 'Sm1 Dy1 Sc1 Hg1'
_space_group_name_H-M_alt 'P 1'
_space_group_IT_number 1
_cell_length_a 5.3497
_cell_length_b 5.3497
_cell_length_c 5.3497
_cell_angle_alpha 60.00
_cell_angle_beta 60.00
_cell_angle_gamma 60.00
loop_
_space_group_symop_operation_xyz
'x,y,z'
loop_
_atom_site_label
_atom_site_type_symbol
_atom_site_fract_x
_atom_site_fract_y
_atom_site_fract_z
Sc1 Sc 0.0000 0.0000 0.0000
Hg1 Hg 0.5000 0.5000 0.5000
Sm1 Sm 0.7500 0.7500 0.7500
Dy1 Dy 0.2500 0.2500 0.2500
# Energy, eV/f.u.: -16.287